Record 1
Material: CaTaOs2
Method: DFT, PBE-GGA
State: relaxed

Lattice parameters (Å, degrees): 4.620 4.620 3.220 90.00 90.00 90.00
Atoms (fractional coordinates):
Ca: 0.000 0.000 0.000
Ta: 0.500 0.500 0.000
Os: 0.000 0.500 0.500
Os: 0.500 0.000 0.500

Output
SG   No. 123
Total DFT energy (no corrections)   -8.848 eV/atom
Energy above the lowest structure with this stoichiometry   83 kJ/mol of formula units
Fermi-level density of states   3.0 states/eV/f.u.

Record 2
Material: CrCdAu2
Method: DFT, PBE-GGA
State: relaxed

Lattice parameters (Å, degrees): 4.681 4.681 4.681 60.00 60.00 60.00
Atoms (fractional coordinates):
Cr: 0.000 0.000 0.000
Cd: 0.750 0.750 0.750
Au: 0.250 0.250 0.250
Au: 0.500 0.500 0.500

Output
SG   No. 216
Total DFT energy (no corrections)   -4.186 eV/atom
Fermi-level density of states   1.2 states/eV/f.u.

Record 3
Material: MgAl5Pd2
Method: DFT, PBE-GGA
State: relaxed

Lattice parameters (Å, degrees): 6.468 6.468 6.468 147.58 102.60 86.43
Atoms (fractional coordinates):
Mg: 0.000 0.000 0.000
Al: 0.157 0.351 0.806
Al: 0.455 0.649 0.806
Al: 0.500 0.000 0.500
Al: 0.545 0.351 0.194
Al: 0.843 0.649 0.194
Pd: 0.233 0.733 0.500
Pd: 0.767 0.267 0.500

Output
SG   No. 71
Total DFT energy (no corrections)   -4.305 eV/atom
Fermi-level density of states   2.5 states/eV/f.u.

Record 4
Material: PuSc4Cd
Method: DFT, PBE-GGA
State: relaxed

Lattice parameters (Å, degrees): 7.913 7.913 7.913 99.84 99.84 131.17
Atoms (fractional coordinates):
Pu: 0.000 0.000 0.000
Pu: 0.750 0.250 0.500
Sc: 0.199 0.470 0.729
Sc: 0.220 0.449 0.229
Sc: 0.220 0.992 0.771
Sc: 0.253 0.993 0.260
Sc: 0.734 0.993 0.740
Sc: 0.742 0.470 0.271
Sc: 0.743 0.503 0.760
Sc: 0.743 0.984 0.240
Cd: 0.250 0.750 0.500
Cd: 0.500 0.500 0.000

Output
SG   No. 109
Total DFT energy (no corrections)   -6.206 eV/atom
Energy above the lowest structure with this stoichiometry   346 kJ/mol of formula units
Fermi-level density of states   7.7 states/eV/f.u.

Record 5
Material: K5ZnF8
Method: DFT, PBE-GGA
State: relaxed

Lattice parameters (Å, degrees): 6.891 6.891 6.891 111.93 111.93 104.66
Atoms (fractional coordinates):
K: 0.000 0.000 0.000
K: 0.247 0.642 0.127
K: 0.358 0.485 0.605
K: 0.515 0.120 0.873
K: 0.880 0.753 0.395
Zn: 0.750 0.250 0.500
F: 0.038 0.245 0.689
F: 0.160 0.751 0.768
F: 0.249 0.017 0.409
F: 0.555 0.348 0.311
F: 0.608 0.840 0.591
F: 0.652 0.962 0.207
F: 0.755 0.445 0.793
F: 0.983 0.392 0.232

Output
SG   No. 82
Total DFT energy (no corrections)   -3.978 eV/atom
E_form (uncorrected)   -234.1 kJ per mole of atoms
Fermi-level density of states   13.6 states/eV/f.u.

Record 6
Material: MnTl2CoPb
Method: DFT, PBE-GGA
State: relaxed

Lattice parameters (Å, degrees): 5.054 5.054 4.770 90.00 90.00 90.00
Atoms (fractional coordinates):
Mn: 0.000 0.000 0.000
Tl: 0.000 0.500 0.500
Tl: 0.500 0.000 0.500
Co: 0.000 0.000 0.500
Pb: 0.500 0.500 0.000

Output
SG   No. 123
Total DFT energy (no corrections)   -4.463 eV/atom
Fermi-level density of states   4.0 states/eV/f.u.